Material: Ba2PRh
Method: DFT, GGA-PBEsol
State: optimized geometry

```
4
Lattice="-3.1554 1.0484 2.9252 -0.1766 -4.5797 1.4509 3.7671 3.2915 2.8839" Properties=species:S:1:pos:R:3 pbc="T T T"
P 1.1319 -1.9576 1.9227
Rh -1.0186 -1.5894 2.8232
Ba 3.4126 -1.3367 4.1603
Ba 0.4373 1.0728 3.4396
```

Energy of formation from the pure elements in eV per atom: -0.686
E in eV per atom: -5.2431
SG: Amm2, No. 38

Material: BaPRhS2
Method: DFT, GGA-PBEsol
State: optimized geometry

```
5
Lattice="5.4969 0.0000 0.0000 0.0000 5.4969 0.0000 0.0000 0.0000 5.5283" Properties=species:S:1:pos:R:3 pbc="T T T"
P 0.0000 0.0000 2.7642
S 0.0000 2.7484 0.0000
S 2.7484 0.0000 0.0000
Rh 2.7484 2.7484 2.7642
Ba 0.0000 0.0000 0.0000
```

Formation energy from raw total energies in meV/atom: 1646
E in eV per atom: -3.3230
SG: P4/mmm, No. 123

Material: BaPRuS2
Method: DFT, GGA-PBEsol
State: optimized geometry

```
5
Lattice="5.4640 0.0000 0.0000 0.0000 5.4640 0.0000 0.0000 0.0000 5.5063" Properties=species:S:1:pos:R:3 pbc="T T T"
Ru 2.7320 2.7320 2.7532
S 0.0000 2.7320 0.0000
S 2.7320 0.0000 0.0000
Ba 0.0000 0.0000 0.0000
P 0.0000 0.0000 2.7532
```

Formation energy from raw total energies in meV/atom: 1808
E in eV per atom: -3.5686
SG: P4/mmm, No. 123

Material: BaPS3
Method: DFT, GGA-PBEsol
State: optimized geometry

```
5
Lattice="4.7036 0.0000 0.0000 0.0000 4.7036 0.0000 0.0000 0.0000 4.7036" Properties=species:S:1:pos:R:3 pbc="T T T"
P 0.0000 0.0000 0.0000
S 0.0000 2.3518 0.0000
S 0.0000 0.0000 2.3518
S 2.3518 0.0000 0.0000
Ba 2.3518 2.3518 2.3518
```

Formation energy from raw total energies in meV/atom: -835
E in eV per atom: -5.0535
SG: Pm-3m, No. 221

Material: Ba3P2S8
Method: DFT, GGA-PBEsol
State: optimized geometry

```
13
Lattice="6.5716 0.0000 0.0000 -3.2858 5.6912 0.0000 0.0000 0.0000 8.6325" Properties=species:S:1:pos:R:3 pbc="T T T"
Ba 3.2858 1.8971 5.4405
Ba 0.0000 3.7941 3.1920
Ba 0.0000 0.0000 0.0000
P 0.0000 3.7941 6.7569
P 3.2858 1.8971 1.8756
S -1.6343 4.7377 5.9640
S 4.9202 0.9535 2.6684
S 1.6515 0.9535 2.6684
S 3.2858 1.8971 8.4963
S 0.0000 3.7941 0.1361
S 1.6343 4.7377 5.9640
S 0.0000 1.9070 5.9640
S 3.2858 3.7842 2.6684
```

Formation energy from raw total energies in meV/atom: -1284
E in eV per atom: -5.3684
SG: P-3m1, No. 164

Material: Ba3P2S8
Method: DFT, GGA-PBEsol
State: optimized geometry

```
52
Lattice="6.5417 0.0000 0.0000 0.0000 11.6082 -0.0246 0.0000 -0.0460 17.1997" Properties=species:S:1:pos:R:3 pbc="T T T"
Ba 3.3566 9.6156 9.8423
Ba 6.4559 3.8115 9.8546
Ba 6.2062 0.2376 4.3325
Ba 3.3402 9.7433 1.2381
Ba 0.0693 7.6229 15.9247
Ba 2.9354 5.5204 12.8549
Ba 6.4723 3.9392 1.2504
Ba 3.2015 1.8188 15.9370
Ba 0.0857 7.7507 7.3206
Ba 3.1851 1.9466 7.3329
Ba 3.6063 6.0417 4.3202
Ba 0.3355 11.3245 12.8426
P 3.5131 9.7289 14.7735
P 3.4121 9.5984 6.1809
P 0.1413 7.7678 10.9820
P 6.4003 3.7943 6.1932
P 3.1295 1.9637 10.9943
P 3.0285 1.8332 2.4016
P 0.2423 7.6373 2.3893
P 6.2993 3.9249 14.7858
S 1.6974 0.8456 10.0448
S 6.4720 1.9708 7.1395
S 4.7629 1.1005 1.5643
S 4.7306 4.7031 15.8470
S 4.8442 10.7165 7.1304
S 4.9682 4.9124 7.1427
S 1.7788 10.4617 15.6108
S 1.5734 6.6497 10.0325
S 1.8110 6.8590 1.3281
S 5.7631 3.4646 4.2910
S 0.7786 8.0976 12.8842
S 3.3405 7.7749 7.1272
S 6.3076 1.9125 15.1486
S 3.5049 7.7166 15.1363
S 3.2011 3.7872 10.0479
S 0.0697 9.5913 10.0356
S 1.6515 4.6977 6.5520
S 5.0496 6.9046 1.5520
S 2.4922 2.2935 12.8965
S 4.9223 1.0604 10.6355
S 0.2341 9.6496 2.0266
S 3.0367 3.8455 2.0389
S 0.4273 6.9323 4.2866
S 1.6193 10.5018 6.5397
S 4.8901 6.8645 10.6232
S 6.1144 4.6298 12.8886
S 3.6981 10.4339 12.8763
S 1.4921 4.6576 15.6231
S 2.8436 1.1282 4.2989
S 1.4598 1.0549 1.3404
S 4.0494 9.2687 4.2787
S 5.0819 10.5072 15.8347
```

Formation energy from raw total energies in meV/atom: -1293
E in eV per atom: -5.3775
SG: P2_1/c, No. 14

Material: BaSbPS2
Method: DFT, GGA-PBEsol
State: optimized geometry

```
5
Lattice="-4.9669 -2.0709 0.9075 2.0361 -5.0491 -0.3785 0.9963 -0.0060 5.4395" Properties=species:S:1:pos:R:3 pbc="T T T"
Sb -0.9673 -3.5630 2.9843
S 1.0180 -2.5246 -0.1892
S -2.4835 -1.0355 0.4537
Ba 0.0000 0.0000 0.0000
P 0.4982 -0.0030 2.7197
```

Formation energy from raw total energies in meV/atom: 948
E in eV per atom: -3.3049
SG: P4/mmm, No. 123

Material: BaSiPS2
Method: DFT, GGA-PBEsol
State: optimized geometry

```
5
Lattice="-3.4165 0.2001 4.3097 -3.9122 -2.4612 -2.9871 1.8267 -4.9394 1.6774" Properties=species:S:1:pos:R:3 pbc="T T T"
P 0.9134 -2.4697 0.8387
S -1.9561 -1.2306 -1.4936
S -1.7083 0.1000 2.1548
Si -2.7510 -3.6003 1.5000
Ba 0.0000 0.0000 0.0000
```

Formation energy from raw total energies in meV/atom: 1220
E in eV per atom: -3.2709
SG: P4/mmm, No. 123